# YAl2Au2

A crystal of YAl2Au2 relaxed with PBEsol (SCAN, Alexandria). Values from VASP.

Cell and atoms, written as Quantum ESPRESSO input:
```
&SYSTEM
  ibrav = 0, nat = 5, ntyp = 3
/
ATOMIC_SPECIES
Au 196.97 Au.upf
Al 26.98 Al.upf
Y 88.91 Y.upf
ATOMIC_POSITIONS crystal
Au 0.750 0.250 0.500
Au 0.250 0.750 0.500
Al 0.377 0.377 0.753
Al 0.623 0.623 0.247
Y 0.000 0.000 0.000
CELL_PARAMETERS angstrom
4.367 0.000 0.000
0.000 4.367 0.000
-2.184 -2.184 5.078
```

Summary:
- D(E_F): 2.374 states/eV/cell
- Energy of formation from the pure elements: -876 meV/atom